A plane-wave DFT calculation with PBE was carried out for a relaxed TmNbNO crystal.

a b c (Å): 3.3258 5.6928 6.3472
angles (deg): 90.00 90.00 90.00
Last column: nearest neighbours and their distance in Å.
Fractional positions:
1 N 0.0000 0.8364 0.3203  2 Nb 2.02-2.05, 2 Tm 2.19
2 N 0.0000 0.3364 0.6797  2 Nb 2.02-2.05, 2 Tm 2.19
3 Nb 0.0000 0.4855 0.3903  2 N 2.02-2.05
4 Nb 0.0000 0.9855 0.6097  2 N 2.02-2.05
5 O 0.5000 0.4056 0.1503  2 Tm 2.16, 2 Nb 2.30
6 O 0.5000 0.9056 0.8497  2 Tm 2.16, 2 Nb 2.30
7 Tm 0.5000 0.5264 0.8270  2 O 2.16, 2 N 2.19
8 Tm 0.5000 0.0264 0.1730  2 O 2.16, 2 N 2.19

Summary:
- Total moment: 0.006 μB/atom
- Space-group type: Pmc2_1
- Excess energy over the best structure of this formula in the dataset: 0.309 eV per atom
- E: -68.1 eV for the cell shown